Here is a relaxed SrSn2Te4 crystal from Alexandria via LeMat-Bulk. Energies are from PBE.

a = 4.603 Å, b = 7.913 Å, c = 13.937 Å
α = 90.00°, β = 90.00°, γ = 106.91°
Sites, in units of the cell vectors:
Sr1 0.594 0.187 0.750
Sr2 0.406 0.813 0.250
Sn1 0.135 0.271 0.440
Sn2 0.865 0.729 0.940
Sn3 0.135 0.271 0.060
Sn4 0.865 0.729 0.560
Te1 0.767 0.534 0.144
Te2 0.767 0.534 0.356
Te3 0.233 0.466 0.856
Te4 0.233 0.466 0.644
Te5 0.944 0.887 0.750
Te6 0.056 0.113 0.250
Te7 0.500 0.000 0.000
Te8 0.500 0.000 0.500

Summary:
formation energy (no corrections): -4.1 eV/f.u.
VASP energy: -0.2769 Ry/atom
spin magnetization: 0.000 μB per formula unit